[1]
The following is a PBE-GGA calculation of a relaxed Ce2AlSi3Ni4 crystal, from Alexandria.

```
Ce2AlSi3Ni4
1.0
4.0225 0.0000 0.0000
0.0000 4.0225 0.0000
0.0000 0.0000 9.6902
Ce Al Si Ni
2 1 3 4
direct
0.5000 0.0000 0.2436
0.0000 0.5000 0.7564
0.5000 0.5000 0.5000
0.0000 0.0000 0.5000
0.5000 0.0000 0.8748
0.0000 0.5000 0.1252
0.5000 0.5000 0.0000
0.0000 0.0000 0.0000
0.5000 0.0000 0.6343
0.0000 0.5000 0.3657
```

Summary:
The value obtained for the final energy is -62.799 eV for the cell shown. As for the density: 6633 kg/m³. The value obtained for the magnetization is 0.000 μB per atom.

---

[2]
The following is a PBE-GGA calculation of a relaxed Ac6GaSi2Cl3 crystal, from Alexandria.

```
Ac6GaSi2Cl3
1.0
4.6002 0.0000 0.0000
0.0000 8.8403 0.5855
-2.3001 -2.2804 9.4628
Ac Ga Si Cl
6 1 2 3
direct
0.3359 0.9062 0.6718
0.6712 0.5732 0.3425
0.6641 0.0938 0.3282
0.0044 0.2442 0.0088
0.9956 0.7558 0.9912
0.3288 0.4268 0.6575
0.5000 0.0000 0.0000
0.8327 0.6660 0.6654
0.1673 0.3340 0.3346
0.5000 0.5000 0.0000
0.8331 0.1687 0.6662
0.1669 0.8313 0.3338
```

Summary:
The value obtained for the final energy is -57.241 eV for the cell shown. As for the density: 6771 kg/m³. The value obtained for the magnetization is 0.000 μB per atom.

---

> The lowest final energy belongs to which entry?

Ce2AlSi3Ni4

---

> What is the final energy in the first record?

-62.799 eV for the cell shown